Entry from the Alexandria database: a geometry-optimized TaNiF3 structure (GGA+U).

The structure in POSCAR format:
```
TaNiF3
1.0
4.020 0.000 0.000
0.000 4.020 0.000
0.000 0.000 4.020
Ta F Ni
1 3 1
Direct
0.500 0.500 0.500 Ta
0.000 0.500 0.000 F
0.500 0.000 0.000 F
0.000 0.000 0.500 F
0.000 0.000 0.000 Ni
```

Output
Its space group is Pm-3m. For the calculated total energy, the calculation gives -21.12 eV for the cell shown. For the energy above the most stable polymorph in this dataset, the calculation gives 676 meV/atom.